No. 1
The following is a PBE-GGA calculation of Er2VSe after structural relaxation, from the Alexandria database.

Lattice parameters (Å, degrees): 9.6114 9.6114 9.6114 21.46 21.46 21.46
Fractional positions:
Er1 0.0998 0.0998 0.0998
Er2 0.9002 0.9002 0.9002
V1 0.0000 0.0000 0.0000
Se1 0.5000 0.5000 0.5000

Calculated values
Its space group is R-3m, No. 166. The calculation puts the total DFT energy (no corrections) at -21.9 eV per cell. The calculation puts the formation energy from raw total energies at -0.04 eV/atom. As for the calculated density: 7.407 Mg/m³.


No. 2
The following is a PBE-GGA calculation of ErW4Se8 after structural relaxation, from the Alexandria database.

Lattice parameters (Å, degrees): 8.2043 8.2043 8.2043 49.13 49.13 49.13
Fractional positions:
Er1 0.0000 0.0000 0.0000
W1 0.0000 0.0000 0.5000
W2 0.0000 0.5000 0.0000
W3 0.5000 0.0000 0.0000
W4 0.5000 0.5000 0.5000
Se1 0.2441 0.2441 0.2441
Se2 0.2525 0.7409 0.7409
Se3 0.2591 0.2591 0.7475
Se4 0.2591 0.7475 0.2591
Se5 0.7409 0.2525 0.7409
Se6 0.7409 0.7409 0.2525
Se7 0.7475 0.2591 0.2591
Se8 0.7559 0.7559 0.7559

Calculated values
Its space group is R-3m, No. 166. The calculation puts the total DFT energy (no corrections) at -88.4 eV per cell. The calculation puts the formation energy from raw total energies at -0.32 eV/atom. As for the calculated density: 8.783 Mg/m³.


No. 3
The following is a PBE-GGA calculation of YErSe2 after structural relaxation, from the Alexandria database.

Lattice parameters (Å, degrees): 7.0178 7.0178 7.0178 33.69 33.69 33.69
Fractional positions:
Y1 0.0000 0.0000 0.0000
Er1 0.5000 0.5000 0.5000
Se1 0.2483 0.2483 0.2483
Se2 0.7517 0.7517 0.7517

Calculated values
Its space group is R-3m, No. 166. Its excess energy over the best structure of this formula in the dataset is 0.0 meV/atom. The calculation puts the total DFT energy (no corrections) at -24.9 eV per cell. The calculation puts the formation energy from raw total energies at -1.73 eV/atom. As for the calculated density: 7.256 Mg/m³.


No. 4
The following is a PBE-GGA calculation of Y6Er2Se3 after structural relaxation, from the Alexandria database.

Lattice parameters (Å, degrees): 25.1784 25.1784 25.1784 8.68 8.68 8.68
Fractional positions:
Y1 0.0734 0.0734 0.0734
Y2 0.1853 0.1853 0.1853
Y3 0.3579 0.3579 0.3579
Y4 0.6421 0.6421 0.6421
Y5 0.8147 0.8147 0.8147
Y6 0.9266 0.9266 0.9266
Er1 0.4439 0.4439 0.4439
Er2 0.5561 0.5561 0.5561
Se1 0.0000 0.0000 0.0000
Se2 0.2849 0.2849 0.2849
Se3 0.7151 0.7151 0.7151

Calculated values
Its space group is R-3m, No. 166. The calculation puts the total DFT energy (no corrections) at -68.2 eV per cell. The calculation puts the formation energy from raw total energies at -0.89 eV/atom. As for the calculated density: 5.820 Mg/m³.


No. 5
The following is a PBE-GGA calculation of YEr6Se8 after structural relaxation, from the Alexandria database.

Lattice parameters (Å, degrees): 8.0502 8.0502 8.0502 60.00 60.00 60.00
Fractional positions:
Y1 0.0000 0.0000 0.0000
Er1 0.0000 0.0000 0.5000
Er2 0.0000 0.5000 0.0000
Er3 0.0000 0.5000 0.5000
Er4 0.5000 0.0000 0.0000
Er5 0.5000 0.0000 0.5000
Er6 0.5000 0.5000 0.0000
Se1 0.2500 0.2500 0.2500
Se2 0.2556 0.2556 0.7444
Se3 0.2556 0.7444 0.2556
Se4 0.2556 0.7444 0.7444
Se5 0.7444 0.2556 0.2556
Se6 0.7444 0.2556 0.7444
Se7 0.7444 0.7444 0.2556
Se8 0.7500 0.7500 0.7500

Calculated values
Its space group is Fm-3m, No. 225. Its excess energy over the best structure of this formula in the dataset is 0.0 meV/atom. The calculation puts the total DFT energy (no corrections) at -88.7 eV per cell. The calculation puts the formation energy from raw total energies at -1.80 eV/atom. As for the calculated density: 7.761 Mg/m³.


No. 6
The following is a PBE-GGA calculation of Y3ErSe4 after structural relaxation, from the Alexandria database.

Lattice parameters (Å, degrees): 7.0882 8.0751 7.0787 90.00 109.29 90.00
Fractional positions:
Y1 0.0000 0.1242 0.2500
Y2 0.0000 0.3741 0.7500
Y3 0.0000 0.6259 0.2500
Y4 0.0000 0.8758 0.7500
Y5 0.5000 0.1243 0.7500
Y6 0.5000 0.8757 0.2500
Er1 0.5000 0.3743 0.2500
Er2 0.5000 0.6257 0.7500
Se1 0.2516 0.1268 0.0018
Se2 0.2516 0.8732 0.5018
Se3 0.2534 0.3769 0.4998
Se4 0.2534 0.6231 0.9998
Se5 0.7466 0.3769 0.0002
Se6 0.7466 0.6231 0.5002
Se7 0.7484 0.1268 0.4982
Se8 0.7484 0.8732 0.9982

Calculated values
Its space group is P2/c, No. 13. Its excess energy over the best structure of this formula in the dataset is 0.0 meV/atom. The calculation puts the total DFT energy (no corrections) at -103.8 eV per cell. The calculation puts the formation energy from raw total energies at -1.75 eV/atom. As for the calculated density: 6.512 Mg/m³.


No. 7
The following is a PBE-GGA calculation of Y4Er2Se9 after structural relaxation, from the Alexandria database.

Lattice parameters (Å, degrees): 7.1822 7.1841 19.4461 89.99 89.97 60.03
Fractional positions:
Y1 0.1657 0.1668 0.1810
Y2 0.1662 0.1668 0.9855
Y3 0.1670 0.1665 0.4851
Y4 0.1677 0.1663 0.6812
Y5 0.8323 0.8337 0.3188
Y6 0.8330 0.8335 0.5149
Y7 0.8338 0.8332 0.0145
Y8 0.8343 0.8332 0.8190
Er1 0.4990 0.5013 0.1530
Er2 0.4998 0.4990 0.3472
Er3 0.5002 0.5010 0.6528
Er4 0.5010 0.4987 0.8470
Se1 0.1408 0.5290 0.4166
Se2 0.1430 0.8294 0.9165
Se3 0.1695 0.4723 0.0835
Se4 0.1702 0.8589 0.5834
Se5 0.1972 0.5003 0.7499
Se6 0.1967 0.8037 0.2503
Se7 0.4711 0.1716 0.5832
Se8 0.4715 0.8585 0.0832
Se9 0.4988 0.1971 0.2499
Se10 0.5012 0.8029 0.7501
Se11 0.5285 0.1415 0.9168
Se12 0.5289 0.8284 0.4168
Se13 0.8033 0.1963 0.7497
Se14 0.8028 0.4997 0.2501
Se15 0.8298 0.1411 0.4166
Se16 0.8305 0.5277 0.9165
Se17 0.8570 0.1706 0.0835
Se18 0.8592 0.4710 0.5834

Calculated values
Its space group is P-1, No. 2. The calculation puts the total DFT energy (no corrections) at -188.7 eV per cell. The calculation puts the formation energy from raw total energies at -1.87 eV/atom. As for the calculated density: 5.352 Mg/m³.


No. 8
The following is a PBE-GGA calculation of Y4ErSe5 after structural relaxation, from the Alexandria database.

Lattice parameters (Å, degrees): 14.7639 14.7639 14.7639 164.16 164.16 22.48
Fractional positions:
Y1 0.1021 0.1021 0.0000
Y2 0.3041 0.3041 0.0000
Y3 0.6959 0.6959 0.0000
Y4 0.8979 0.8979 0.0000
Er1 0.5000 0.5000 0.0000
Se1 0.0000 0.0000 0.0000
Se2 0.2024 0.2024 0.0000
Se3 0.4025 0.4025 0.0000
Se4 0.5975 0.5975 0.0000
Se5 0.7976 0.7976 0.0000

Calculated values
Its space group is I4/mmm, No. 139. The calculation puts the total DFT energy (no corrections) at -65.3 eV per cell. The calculation puts the formation energy from raw total energies at -1.75 eV/atom. As for the calculated density: 6.356 Mg/m³.


No. 9
The following is a PBE-GGA calculation of YEr3Se6 after structural relaxation, from the Alexandria database.

Lattice parameters (Å, degrees): 8.3480 8.3480 8.3480 90.85 90.85 90.85
Fractional positions:
Y1 0.0000 0.0000 0.0000
Y2 0.5000 0.5000 0.5000
Er1 0.0698 0.7453 0.5793
Er2 0.2547 0.4207 0.9302
Er3 0.4207 0.9302 0.2547
Er4 0.5793 0.0698 0.7453
Er5 0.7453 0.5793 0.0698
Er6 0.9302 0.2547 0.4207
Se1 0.0365 0.6782 0.9058
Se2 0.0942 0.9635 0.3218
Se3 0.1827 0.4140 0.5911
Se4 0.3218 0.0942 0.9635
Se5 0.4089 0.8173 0.5860
Se6 0.4140 0.5911 0.1827
Se7 0.5860 0.4089 0.8173
Se8 0.5911 0.1827 0.4140
Se9 0.6782 0.9058 0.0365
Se10 0.8173 0.5860 0.4089
Se11 0.9058 0.0365 0.6782
Se12 0.9635 0.3218 0.0942

Calculated values
Its space group is R-3, No. 148. Its excess energy over the best structure of this formula in the dataset is 30.0 meV/atom. The calculation puts the total DFT energy (no corrections) at -118.7 eV per cell. The calculation puts the formation energy from raw total energies at -1.83 eV/atom. As for the calculated density: 6.079 Mg/m³.


No. 10
The following is a PBE-GGA calculation of YErSe after structural relaxation, from the Alexandria database.

Lattice parameters (Å, degrees): 6.6048 6.6048 6.6048 148.54 148.54 45.09
Fractional positions:
Y1 0.0000 0.0000 0.0000
Er1 0.2922 0.2922 0.0000
Se1 0.6480 0.6480 0.0000

Calculated values
Its space group is I4mm, No. 107. Its excess energy over the best structure of this formula in the dataset is 156.9 meV/atom. The calculation puts the total DFT energy (no corrections) at -17.4 eV per cell. The calculation puts the formation energy from raw total energies at -0.96 eV/atom. As for the calculated density: 7.112 Mg/m³.


No. 11
The following is a PBE-GGA calculation of YErSe3 after structural relaxation, from the Alexandria database.

Lattice parameters (Å, degrees): 7.6832 7.6832 7.6832 55.63 55.63 55.63
Fractional positions:
Y1 0.1518 0.1518 0.1518
Y2 0.8482 0.8482 0.8482
Er1 0.3470 0.3470 0.3470
Er2 0.6530 0.6530 0.6530
Se1 0.0566 0.4454 0.7465
Se2 0.2535 0.9434 0.5546
Se3 0.4454 0.7465 0.0566
Se4 0.5546 0.2535 0.9434
Se5 0.7465 0.0566 0.4454
Se6 0.9434 0.5546 0.2535

Calculated values
Its space group is R-3, No. 148. Its excess energy over the best structure of this formula in the dataset is 0.0 meV/atom. The calculation puts the total DFT energy (no corrections) at -61.5 eV per cell. The calculation puts the formation energy from raw total energies at -1.86 eV/atom. As for the calculated density: 5.682 Mg/m³.